Entry 1:
## SrV2W (GGA-PBE)

Data for crystalline SrV2W at its relaxed geometry.

As for the relative energy among the computed polymorphs: 29.6 kJ per mole of atoms. Its formation energy from the elements is 130.6 kJ/mol of atoms. As for the space-group type: No. 141. The crystal system is tetragonal. The magnetization is 2.73 μB per cell.

Cell: 4.912 4.912 9.171 Å, 74.47 74.47 90.00°
Fractional positions:
Sr  0.500  0.500  0.000
Sr  0.250  0.750  0.500
W  0.000  0.000  0.000
W  0.750  0.250  0.500
V  0.876  0.125  0.250
V  0.874  0.625  0.250
V  0.375  0.124  0.750
V  0.875  0.126  0.750

Entry 2:
## SrVW3 (GGA-PBE)

Data for crystalline SrVW3 at its relaxed geometry.

As for the relative energy among the computed polymorphs: 206.0 kJ per mole of atoms. Its formation energy from the elements is 352.4 kJ/mol of atoms. As for the space-group type: No. 221. The crystal system is cubic. The magnetization is 2.78 μB per cell.

Cell: 4.758 4.758 4.758 Å, 90.00 90.00 90.00°
Fractional positions:
Sr  0.000  0.000  0.000
W  0.000  0.500  0.000
W  0.000  0.000  0.500
W  0.500  0.000  0.000
V  0.500  0.500  0.500

Entry 3:
## SrY2V (GGA-PBE)

Data for crystalline SrY2V at its relaxed geometry.

As for the relative energy among the computed polymorphs: 0.0 kJ per mole of atoms. Its formation energy from the elements is 46.2 kJ/mol of atoms. As for the space-group type: No. 225. The crystal system is cubic. The magnetization is 4.18 μB per cell.

Cell: 5.541 5.541 5.541 Å, 60.00 60.00 60.00°
Fractional positions:
Y  0.250  0.250  0.250
Y  0.750  0.750  0.750
Sr  0.500  0.500  0.500
V  0.000  0.000  0.000

Entry 4:
## SrY2V (GGA-PBE)

Data for crystalline SrY2V at its relaxed geometry.

As for the relative energy among the computed polymorphs: 57.7 kJ per mole of atoms. Its formation energy from the elements is 104.0 kJ/mol of atoms. As for the space-group type: No. 141. The crystal system is tetragonal. The magnetization is 2.18 μB per cell.

Cell: 7.812 7.812 7.817 Å, 60.02 60.02 90.00°
Fractional positions:
Y  0.375  0.125  0.250
Y  0.375  0.625  0.250
Y  0.375  0.625  0.750
Y  0.875  0.625  0.750
Sr  0.000  0.000  0.000
Sr  0.750  0.250  0.500
V  0.500  0.500  0.000
V  0.250  0.750  0.500

Entry 5:
## Sr2Y2V (GGA-PBE)

Data for crystalline Sr2Y2V at its relaxed geometry.

Its formation energy from the elements is 79.7 kJ/mol of atoms. As for the space-group type: No. 127. The crystal system is tetragonal. The magnetization is 8.22 μB per cell.

Cell: 7.920 7.920 5.758 Å, 90.00 90.00 90.00°
Fractional positions:
Y  0.173  0.673  0.500
Y  0.673  0.827  0.500
Y  0.827  0.327  0.500
Y  0.327  0.173  0.500
Sr  0.353  0.853  0.000
Sr  0.853  0.647  0.000
Sr  0.647  0.147  0.000
Sr  0.147  0.353  0.000
V  0.000  0.000  0.000
V  0.500  0.500  0.000

Entry 6:
## SrYV2 (GGA-PBE)

Data for crystalline SrYV2 at its relaxed geometry.

As for the relative energy among the computed polymorphs: 0.0 kJ per mole of atoms. Its formation energy from the elements is 80.7 kJ/mol of atoms. As for the space-group type: No. 225. The crystal system is cubic. The magnetization is 7.68 μB per cell.

Cell: 5.326 5.326 5.326 Å, 60.00 60.00 60.00°
Fractional positions:
Y  0.500  0.500  0.500
Sr  0.000  0.000  0.000
V  0.250  0.250  0.250
V  0.750  0.750  0.750